FeAsP2 | PBE-GGA | relaxed

abc: 3.977 3.977 5.442
angles: 100.36 100.36 49.34
Fractional coordinates of all 4 atoms:
Fe: 0.000 0.000 0.000
As: 0.727 0.727 0.282
P: 0.288 0.288 0.944
P: 0.464 0.464 0.677

Summary:
VASP energy: -5.95 eV per atom
Formation energy from the elements: 0.2 eV per formula unit

FeAsP2 | PBE-GGA | relaxed

abc: 6.403 6.403 6.403
angles: 131.46 131.46 71.08
Fractional coordinates of all 8 atoms:
Fe: 0.000 0.000 0.000
Fe: 0.750 0.250 0.500
As: 0.250 0.750 0.500
As: 0.500 0.500 0.000
P: 0.078 0.625 0.953
P: 0.375 0.328 0.453
P: 0.672 0.125 0.047
P: 0.875 0.922 0.547

Summary:
VASP energy: -5.97 eV per atom
Formation energy from the elements: 0.1 eV per formula unit

FeAs2P | PBE-GGA | relaxed

abc: 6.594 6.594 6.594
angles: 30.22 30.22 30.22
Fractional coordinates of all 4 atoms:
Fe: 0.000 0.000 0.000
As: 0.251 0.251 0.251
As: 0.749 0.749 0.749
P: 0.500 0.500 0.500

Summary:
VASP energy: -5.56 eV per atom
Formation energy from the elements: 0.9 eV per formula unit

FeAsP2 | PBE-GGA | relaxed

abc: 4.339 4.339 4.339
angles: 121.69 121.69 87.09
Fractional coordinates of all 4 atoms:
Fe: 0.000 0.000 0.000
As: 0.750 0.250 0.500
P: 0.250 0.750 0.500
P: 0.500 0.500 0.000

Summary:
VASP energy: -5.45 eV per atom
Formation energy from the elements: 2.1 eV per formula unit

FeAs2P | PBE-GGA | relaxed

abc: 8.813 8.813 8.813
angles: 19.30 19.30 19.30
Fractional coordinates of all 4 atoms:
Fe: 0.000 0.000 0.000
As: 0.527 0.527 0.527
As: 0.736 0.736 0.736
P: 0.276 0.276 0.276

Summary:
VASP energy: -5.69 eV per atom
Formation energy from the elements: 0.4 eV per formula unit

FeAsP2 | PBE-GGA | relaxed

abc: 5.670 5.670 5.670
angles: 152.07 135.88 53.03
Fractional coordinates of all 4 atoms:
Fe: 0.000 0.000 0.000
As: 0.500 0.500 0.000
P: 0.184 0.684 0.500
P: 0.816 0.316 0.500

Summary:
VASP energy: -5.70 eV per atom
Formation energy from the elements: 1.1 eV per formula unit

FeAsP2 | PBE-GGA | relaxed

abc: 4.292 4.292 4.263
angles: 109.13 109.13 109.29
Fractional coordinates of all 4 atoms:
Fe: 0.000 0.000 0.000
As: 0.500 0.500 0.000
P: 0.000 0.500 0.500
P: 0.500 0.000 0.500

Summary:
VASP energy: -5.74 eV per atom
Formation energy from the elements: 1.0 eV per formula unit

FeAsP2 | PBE-GGA | relaxed

abc: 4.317 4.317 3.189
angles: 90.00 90.00 104.18
Fractional coordinates of all 4 atoms:
Fe: 0.000 0.000 0.000
As: 0.500 0.500 0.000
P: 0.000 0.500 0.500
P: 0.500 0.000 0.500

Summary:
VASP energy: -5.47 eV per atom
Formation energy from the elements: 2.0 eV per formula unit